Crystalline BeHN2F at its relaxed geometry, computed with GGA-PBE. Values from VASP.

Quantum ESPRESSO input file:
```
&SYSTEM
  ibrav = 0, nat = 5, ntyp = 4
/
ATOMIC_SPECIES
Be 9.01 Be.upf
H 1.01 H.upf
N 14.01 N.upf
F 19.00 F.upf
CELL_PARAMETERS angstrom
2.789 0.000 0.000
0.000 2.789 0.000
0.000 0.000 4.424
ATOMIC_POSITIONS angstrom
Be 0.000 0.000 0.000
H 1.395 1.395 2.212
N 0.000 1.395 2.212
N 1.395 0.000 2.212
F 1.395 1.395 0.000
```

calculated total energy: -4.155 eV/atom
crystal system: tetragonal
space-group type: No. 123


Crystalline BeH6N2F2 at its relaxed geometry, computed with GGA-PBE. Values from VASP.

Quantum ESPRESSO input file:
```
&SYSTEM
  ibrav = 0, nat = 44, ntyp = 4
/
ATOMIC_SPECIES
Be 9.01 Be.upf
H 1.01 H.upf
N 14.01 N.upf
F 19.00 F.upf
CELL_PARAMETERS angstrom
4.945 0.000 0.000
0.000 7.165 0.000
-0.315 0.000 10.446
ATOMIC_POSITIONS angstrom
Be 0.501 0.999 1.886
Be 0.343 2.583 7.109
Be 4.287 4.582 3.337
Be 4.129 6.165 8.560
H 0.624 0.317 6.657
H 0.782 3.265 1.434
H 0.874 4.838 7.050
H 1.032 5.909 1.827
H 0.950 1.184 5.292
H 1.107 2.398 0.069
H 1.068 4.208 5.544
H 1.226 6.539 0.321
H 2.075 1.118 6.500
H 2.233 2.464 1.277
H 2.204 3.894 6.712
H 2.362 6.853 1.489
H 2.268 0.312 8.957
H 2.426 3.271 3.734
H 2.397 4.700 9.169
H 2.554 6.047 3.946
H 3.404 0.626 10.125
H 3.561 2.956 4.902
H 3.522 4.766 10.376
H 3.680 5.981 5.153
H 3.598 1.255 8.619
H 3.756 2.327 3.396
H 3.848 3.900 9.012
H 4.006 6.847 3.789
N 1.068 1.181 6.319
N 1.226 2.402 1.096
N 1.195 4.003 6.549
N 1.353 6.744 1.326
N 3.277 0.420 9.120
N 3.434 3.162 3.897
N 3.404 4.763 9.350
N 3.561 5.984 4.127
F 0.629 1.077 3.423
F 0.471 2.506 8.646
F 0.841 4.544 3.741
F 0.683 6.203 8.964
F 3.947 0.961 1.482
F 3.789 2.621 6.705
F 4.159 4.659 1.800
F 4.001 6.088 7.023
```

calculated total energy: -5.234 eV/atom
crystal system: monoclinic
space-group type: No. 14


Crystalline BeH8N2F4 at its relaxed geometry, computed with GGA-PBE. Values from VASP.

Quantum ESPRESSO input file:
```
&SYSTEM
  ibrav = 0, nat = 60, ntyp = 4
/
ATOMIC_SPECIES
Be 9.01 Be.upf
H 1.01 H.upf
N 14.01 N.upf
F 19.00 F.upf
CELL_PARAMETERS angstrom
7.981 0.000 0.000
0.000 6.008 0.000
0.000 0.000 10.664
ATOMIC_POSITIONS angstrom
Be 0.151 1.502 1.864
Be 3.840 4.506 7.196
Be 4.141 1.502 3.468
Be 7.831 4.506 8.800
H 0.320 1.502 6.808
H 0.574 1.502 8.451
H 0.734 4.506 5.968
H 1.287 3.690 10.438
H 1.287 5.323 10.438
H 1.669 0.666 7.432
H 1.669 2.338 7.432
H 1.784 1.502 3.997
H 2.207 4.506 9.329
H 2.321 3.670 2.100
H 2.321 5.342 2.100
H 2.704 0.686 5.106
H 2.704 2.319 5.106
H 3.256 1.502 0.636
H 3.417 4.506 3.119
H 3.670 4.506 1.476
H 4.311 1.502 9.189
H 4.565 1.502 7.546
H 4.725 4.506 10.029
H 5.277 3.690 5.558
H 5.277 5.323 5.558
H 5.660 0.666 8.564
H 5.660 2.338 8.564
H 5.774 1.502 1.335
H 6.197 4.506 6.667
H 6.312 3.670 3.232
H 6.312 5.342 3.232
H 6.695 0.686 0.226
H 6.695 2.319 0.226
H 7.247 1.502 4.696
H 7.407 4.506 2.213
H 7.661 4.506 3.856
N 1.055 1.502 7.545
N 1.301 4.506 9.811
N 2.690 1.502 4.479
N 2.936 4.506 2.213
N 5.045 1.502 8.452
N 5.291 4.506 6.185
N 6.681 1.502 0.853
N 6.927 4.506 3.120
F 0.224 4.506 7.255
F 0.918 0.192 1.563
F 0.918 2.812 1.563
F 0.998 4.506 4.995
F 2.993 1.502 10.328
F 3.073 3.197 6.895
F 3.073 5.816 6.895
F 3.767 1.502 1.923
F 4.214 4.506 8.741
F 4.908 0.192 3.769
F 4.908 2.812 3.769
F 4.989 4.506 0.337
F 6.983 1.502 5.669
F 7.064 3.197 9.101
F 7.064 5.816 9.101
F 7.758 1.502 3.409
```

calculated total energy: -5.019 eV/atom
crystal system: orthorhombic
space-group type: No. 62


Crystalline BeHN2F at its relaxed geometry, computed with GGA-PBE. Values from VASP.

Quantum ESPRESSO input file:
```
&SYSTEM
  ibrav = 0, nat = 5, ntyp = 4
/
ATOMIC_SPECIES
Be 9.01 Be.upf
H 1.01 H.upf
N 14.01 N.upf
F 19.00 F.upf
CELL_PARAMETERS angstrom
3.516 0.000 0.000
0.000 3.516 0.000
0.000 0.000 3.528
ATOMIC_POSITIONS angstrom
Be 0.000 0.000 0.000
H 1.758 1.758 1.764
N 0.000 1.758 0.000
N 1.758 0.000 0.000
F 0.000 0.000 1.764
```

calculated total energy: -4.023 eV/atom
crystal system: tetragonal
space-group type: No. 123


Crystalline BeH6N2F4 at its relaxed geometry, computed with GGA-PBE. Values from VASP.

Quantum ESPRESSO input file:
```
&SYSTEM
  ibrav = 0, nat = 52, ntyp = 4
/
ATOMIC_SPECIES
Be 9.01 Be.upf
H 1.01 H.upf
N 14.01 N.upf
F 19.00 F.upf
CELL_PARAMETERS angstrom
5.589 0.000 0.000
0.000 7.682 0.000
-0.249 0.000 10.571
ATOMIC_POSITIONS angstrom
Be 1.122 1.655 4.432
Be 0.997 2.186 9.718
Be 4.342 5.496 0.853
Be 4.218 6.027 6.138
H 0.508 4.615 2.574
H 0.383 6.908 7.859
H 0.803 5.310 4.878
H 0.679 6.212 10.163
H 0.885 4.896 9.051
H 1.010 6.626 3.765
H 1.892 3.870 3.283
H 1.768 7.652 8.568
H 2.083 5.257 2.240
H 1.959 6.266 7.526
H 2.274 5.597 9.702
H 2.399 5.925 4.416
H 2.941 1.756 6.155
H 3.065 2.084 0.869
H 3.381 1.416 3.045
H 3.257 2.425 8.331
H 3.572 0.030 2.003
H 3.447 3.811 7.288
H 4.330 1.055 6.806
H 4.455 2.786 1.520
H 4.661 1.469 0.408
H 4.537 2.372 5.693
H 4.956 0.774 2.712
H 4.832 3.067 7.997
N 1.409 5.699 4.086
N 1.284 5.823 9.371
N 1.477 4.791 2.966
N 1.352 6.731 8.252
N 3.988 0.951 2.319
N 3.863 2.890 7.604
N 4.056 1.858 1.200
N 3.931 1.983 6.485
F -0.230 1.247 9.759
F -0.105 2.594 4.473
F 5.445 5.088 6.098
F 5.569 6.435 0.812
F 0.786 0.488 3.414
F 0.662 3.353 8.699
F 1.524 1.129 5.829
F 1.648 2.712 0.543
F 2.249 1.399 9.124
F 2.374 2.442 3.839
F 2.966 5.239 6.732
F 3.090 6.283 1.447
F 3.691 4.969 10.028
F 3.816 6.553 4.742
F 4.678 4.329 1.872
F 4.553 7.194 7.157
```

calculated total energy: -5.126 eV/atom
crystal system: monoclinic
space-group type: No. 14


What did the first record say?
Crystalline BeHN2F at its relaxed geometry, computed with GGA-PBE. Values from VASP.

Quantum ESPRESSO input file:
```
&SYSTEM
  ibrav = 0, nat = 5, ntyp = 4
/
ATOMIC_SPECIES
Be 9.01 Be.upf
H 1.01 H.upf
N 14.01 N.upf
F 19.00 F.upf
CELL_PARAMETERS angstrom
2.789 0.000 0.000
0.000 2.789 0.000
0.000 0.000 4.424
ATOMIC_POSITIONS angstrom
Be 0.000 0.000 0.000
H 1.395 1.395 2.212
N 0.000 1.395 2.212
N 1.395 0.000 2.212
F 1.395 1.395 0.000
```

calculated total energy: -4.155 eV/atom
crystal system: tetragonal
space-group type: No. 123